# Pm2Nd2Zn | Alexandria via LeMat-Bulk | PBE-GGA | optimized geometry
# mass density	7.0	Mg/m³
# ΔE_f	-0.03	eV per atom
data_Pm2Nd2Zn
_space_group_name_H-M_alt 'P 1'
_space_group_IT_number 1
_space_group_name_Hall 'P 1'
_cell_length_a 8.451
_cell_length_b 6.411
_cell_length_c 9.023
_cell_angle_alpha 68.63
_cell_angle_beta 56.44
_cell_angle_gamma 48.77
loop_
_atom_site_label
_atom_site_fract_x
_atom_site_fract_y
_atom_site_fract_z
Nd1 0.251 0.000 0.589
Nd2 0.400 0.000 0.877
Nd3 0.749 0.000 0.411
Nd4 0.600 0.000 0.123
Pm1 0.651 0.382 0.734
Pm2 0.968 0.382 0.266
Pm3 0.032 0.618 0.734
Pm4 0.349 0.618 0.266
Zn1 0.859 0.282 0.000
Zn2 0.141 0.718 0.000